VASP calculation (GGA-PBE) on a relaxed BaDyTe2S6 crystal.

The calculation puts the total moment at 0.00 Bohr magnetons per cell. The total energy is -0.1690 hartree per atom. For the formation energy (no corrections), the calculation gives -0.84 eV/atom. The density comes out at 4.32 g cm⁻³.

It has space group P1 (No. 1), with a = 6.735 Å, b = 7.041 Å, c = 7.814 Å, α = 115.61°, β = 91.38° and γ = 116.77°. The asymmetric unit holds Ba at (0.000, 0.000, 0.000), Dy at (0.507, 0.041, 0.555), Te at (0.221, 0.433, 0.643), Te at (0.697, 0.442, 0.188), S at (0.097, 0.960, 0.393), S at (0.401, 0.917, 0.843), S at (0.431, 0.557, 0.338), S at (0.552, 0.476, 0.821), S at (0.785, 0.253, 0.351) and S at (0.943, 0.317, 0.827).